# AlCrTc2

AlCrTc2 after structural relaxation (GGA-PBE, Alexandria).

Computed properties:
* SG: Cmmm, No. 65
* volume: 55.7 Å³ per cell
* energy: -8.538 eV/atom

Cell: 2.6757 2.6757 8.4397 Å, 90.00 90.00 112.73°
With the nearest neighbours (Å) after each atom.
Positions (direct):
Cr 0.5000 0.5000 0.7500  4 Tc 2.53, 4 Cr 2.68
Tc 0.0000 0.0000 0.9924  2 Cr 2.53, 2 Al 2.63, 4 Tc 2.68
Tc 0.0000 0.0000 0.5076  2 Cr 2.53, 2 Al 2.63, 4 Tc 2.68
Al 0.5000 0.5000 0.2500  4 Tc 2.63, 4 Al 2.68